(1)
A plane-wave DFT calculation with PBE-GGA was carried out for a relaxed Tb2CeUS8 crystal.

Results
- formation energy from raw total energies (meV/atom) = -1567
- SG = P2/m
- uncorrected energy (eV for the cell shown) = -78.31

Cell: 6.1448 8.2857 6.3303 Å, 90.00 91.03 90.00°
Closest atoms and distances in Å follow each position.
Fractional positions:
1 Tb 0.0000 0.2485 0.0000  6 S 2.69-2.80
2 Tb 0.0000 0.7515 0.0000  6 S 2.69-2.80
3 Ce 0.5000 0.0000 0.5000  6 S 2.67-2.78
4 U 0.5000 0.5000 0.5000  6 S 2.56
5 S 0.2276 0.0000 0.1669  1 Ce 2.67, 2 Tb 2.69
6 S 0.2368 0.5000 0.1816  1 U 2.56, 2 Tb 2.78
7 S 0.2845 0.2670 0.6603  1 U 2.56, 1 Ce 2.78, 1 Tb 2.80
8 S 0.2845 0.7330 0.6603  1 U 2.56, 1 Ce 2.78, 1 Tb 2.80
9 S 0.7155 0.2670 0.3397  1 U 2.56, 1 Ce 2.78, 1 Tb 2.80
10 S 0.7155 0.7330 0.3397  1 U 2.56, 1 Ce 2.78, 1 Tb 2.80
11 S 0.7632 0.5000 0.8184  1 U 2.56, 2 Tb 2.78
12 S 0.7724 0.0000 0.8331  1 Ce 2.67, 2 Tb 2.69

---

(2)
A plane-wave DFT calculation with PBE-GGA was carried out for a relaxed TbCe2US4 crystal.

Results
- formation energy from raw total energies (meV/atom) = -1864
- SG = P2/m
- uncorrected energy (eV for the cell shown) = -59.20

Cell: 6.8532 3.9413 6.8815 Å, 90.00 109.24 90.00°
Closest atoms and distances in Å follow each position.
Fractional positions:
1 Tb 0.0000 0.0000 0.0000  6 S 2.76
2 Ce 0.5000 0.0000 0.5000  6 S 2.84
3 Ce 0.5000 0.5000 0.0000  6 S 2.84
4 U 0.0000 0.5000 0.5000  6 S 2.76
5 S 0.2401 0.0000 0.7468  2 U 2.76, 1 Tb 2.76, 3 Ce 2.84
6 S 0.2404 0.5000 0.2470  1 U 2.76, 2 Tb 2.76, 3 Ce 2.84
7 S 0.7599 0.0000 0.2532  2 U 2.76, 1 Tb 2.76, 3 Ce 2.84
8 S 0.7596 0.5000 0.7530  1 U 2.76, 2 Tb 2.76, 3 Ce 2.84

---

Table of size of the total moment (μB/cell), in record order: 0.2, 3.6
Table of calculated density (Mg/m³), in record order: 4.9, 7.6